# 1
First-principles (SCAN) data for a PBEsol-optimized structure of FeNi2, as listed in Alexandria via LeMat-Bulk.

Summary:
Formation energy, eV/atom: -0.06
Fermi-level density of states, states/eV per cell: 8.0

Cell lengths 6.7602, 6.7602, 2.4323 Å; angles 90.00, 90.00, 120.00 degrees
Closest atoms and distances in Å follow each position.
Element x y z (fractional)
Fe 0.0000 0.0000 0.0000  9 Ni 2.41, 2 Fe 2.43
Fe 0.3333 0.6667 0.5000  9 Ni 2.35-2.50, 2 Fe 2.43
Fe 0.6667 0.3333 0.5000  9 Ni 2.35-2.50, 2 Fe 2.43
Ni 0.0000 0.3567 0.0000  5 Fe 2.41-2.50, 8 Ni 2.43-2.57
Ni 0.0000 0.6924 0.5000  4 Fe 2.35-2.41, 8 Ni 2.43-2.57
Ni 0.3076 0.3076 0.5000  4 Fe 2.35-2.41, 8 Ni 2.43-2.57
Ni 0.3567 0.0000 0.0000  5 Fe 2.41-2.50, 8 Ni 2.43-2.57
Ni 0.6433 0.6433 0.0000  5 Fe 2.41-2.50, 8 Ni 2.43-2.57
Ni 0.6924 0.0000 0.5000  4 Fe 2.35-2.41, 8 Ni 2.43-2.57

---

# 2
First-principles (SCAN) data for a PBEsol-optimized structure of Li2Si, as listed in Alexandria via LeMat-Bulk.

Summary:
Fermi-level density of states, states/eV per cell: 3.0
VASP energy, eV/f.u.: -15.21

Cell lengths 10.2566, 2.8220, 6.2067 Å; angles 90.00, 101.95, 90.00 degrees
Closest atoms and distances in Å follow each position.
Element x y z (fractional)
Li 0.1235 0.0000 0.0347  2 Li 2.48-2.67, 2 Si 2.61
Li 0.1863 0.0000 0.6383  5 Si 2.67-2.87, 7 Li 2.67-2.88
Li 0.3137 0.5000 0.3617  5 Si 2.67-2.87, 7 Li 2.67-2.88
Li 0.3765 0.5000 0.9653  2 Li 2.48-2.67, 2 Si 2.61
Li 0.6235 0.5000 0.0347  2 Li 2.48-2.67, 2 Si 2.61
Li 0.6863 0.5000 0.6383  5 Si 2.67-2.87, 7 Li 2.67-2.88
Li 0.8137 0.0000 0.3617  5 Si 2.67-2.87, 7 Li 2.67-2.88
Li 0.8765 0.0000 0.9653  2 Li 2.48-2.67, 2 Si 2.61
Si 0.0297 0.5000 0.3226  1 Si 2.40, 6 Li 2.61-2.68
Si 0.4703 0.0000 0.6774  1 Si 2.40, 6 Li 2.61-2.68
Si 0.5297 0.0000 0.3226  1 Si 2.40, 6 Li 2.61-2.68
Si 0.9703 0.5000 0.6774  1 Si 2.40, 6 Li 2.61-2.68

---

# 3
First-principles (SCAN) data for a PBEsol-optimized structure of Mg2Cr3InS8, as listed in Alexandria via LeMat-Bulk.

Summary:
VASP energy, eV/f.u.: -192.41

Cell lengths 7.2990, 7.2990, 7.2990 Å; angles 59.00, 59.00, 59.00 degrees
Closest atoms and distances in Å follow each position.
Element x y z (fractional)
Mg 0.1260 0.1260 0.1260  4 S 2.42-2.48
Mg 0.8740 0.8740 0.8740  4 S 2.42-2.48
Cr 0.0000 0.5000 0.5000  6 S 2.39-2.42
Cr 0.5000 0.0000 0.5000  6 S 2.39-2.42
Cr 0.5000 0.5000 0.0000  6 S 2.39-2.42
In 0.5000 0.5000 0.5000  6 S 2.58
S 0.2500 0.2500 0.7154  2 Cr 2.39, 1 Mg 2.42, 1 In 2.58
S 0.2500 0.7154 0.2500  2 Cr 2.39, 1 Mg 2.42, 1 In 2.58
S 0.2638 0.2638 0.2638  3 Cr 2.42, 1 Mg 2.48
S 0.2846 0.7501 0.7501  2 Cr 2.39, 1 Mg 2.42, 1 In 2.58
S 0.7154 0.2500 0.2499  2 Cr 2.39, 1 Mg 2.42, 1 In 2.58
S 0.7362 0.7362 0.7362  3 Cr 2.42, 1 Mg 2.48
S 0.7501 0.2846 0.7501  2 Cr 2.39, 1 Mg 2.42, 1 In 2.58
S 0.7501 0.7500 0.2846  2 Cr 2.39, 1 Mg 2.42, 1 In 2.58

---

# 4
First-principles (SCAN) data for a PBEsol-optimized structure of MnZnMo2, as listed in Alexandria via LeMat-Bulk.

Summary:
Formation energy, eV/atom: 0.32
Fermi-level density of states, states/eV per cell: 10.4

Cell lengths 2.7127, 2.7127, 26.1850 Å; angles 90.00, 90.00, 120.00 degrees
Closest atoms and distances in Å follow each position.
Element x y z (fractional)
Mn 0.0000 0.0000 0.0000  3 Mo 2.51, 3 Zn 2.59, 6 Mn 2.71
Mn 0.3333 0.6667 0.6667  3 Mo 2.51, 3 Zn 2.59, 6 Mn 2.71
Mn 0.6667 0.3333 0.3333  3 Mo 2.51, 3 Zn 2.59, 6 Mn 2.71
Zn 0.0000 0.0000 0.7455  3 Mn 2.59, 6 Zn 2.71, 3 Mo 2.80
Zn 0.3333 0.6667 0.4121  3 Mn 2.59, 6 Zn 2.71, 3 Mo 2.80
Zn 0.6667 0.3333 0.0788  3 Mn 2.59, 6 Zn 2.71, 3 Mo 2.80
Mo 0.0000 0.0000 0.2585  3 Mn 2.51, 6 Mo 2.71
Mo 0.0000 0.0000 0.5009  9 Mo 2.71-2.85, 3 Zn 2.80
Mo 0.3333 0.6667 0.1676  9 Mo 2.71-2.85, 3 Zn 2.80
Mo 0.3333 0.6667 0.9252  3 Mn 2.51, 6 Mo 2.71
Mo 0.6667 0.3333 0.5918  3 Mn 2.51, 6 Mo 2.71
Mo 0.6667 0.3333 0.8343  9 Mo 2.71-2.85, 3 Zn 2.80